# Zr2BeP | the Alexandria database | PBE | optimized geometry
# V in Å³/cell: 66
# Calculated total energy in eV per cell: -27.9
# Energy above the most stable polymorph in this dataset in eV/atom: 0.535
# Theoretical density in g cm⁻³: 5.56
data_Zr2BeP
_chemical_formula_sum 'Zr2 Be1 P1'
_symmetry_space_group_name_H-M 'P 1'
_symmetry_Int_Tables_number 1
_cell_length_a 3.990
_cell_length_b 4.566
_cell_length_c 3.647
_cell_angle_alpha 90.00
_cell_angle_beta 90.00
_cell_angle_gamma 90.00
loop_
_symmetry_equiv_pos_as_xyz
'x,y,z'
loop_
_atom_site_label
_atom_site_fract_x
_atom_site_fract_y
_atom_site_fract_z
P1 0.000 0.500 0.500
Zr1 0.000 0.000 0.000
Zr2 0.500 0.500 0.000
Be1 0.500 0.000 0.500

---

# ZrBeP | the Alexandria database | PBE | optimized geometry
# V in Å³/cell: 45
# Calculated total energy in eV per cell: -17.8
# Energy above the most stable polymorph in this dataset in eV/atom: 0.763
# Theoretical density in g cm⁻³: 4.87
data_ZrBeP
_chemical_formula_sum 'Zr1 Be1 P1'
_symmetry_space_group_name_H-M 'P 1'
_symmetry_Int_Tables_number 1
_cell_length_a 3.984
_cell_length_b 3.984
_cell_length_c 3.984
_cell_angle_alpha 60.00
_cell_angle_beta 60.00
_cell_angle_gamma 60.00
loop_
_symmetry_equiv_pos_as_xyz
'x,y,z'
loop_
_atom_site_label
_atom_site_fract_x
_atom_site_fract_y
_atom_site_fract_z
P1 0.000 0.000 0.000
Zr1 0.500 0.500 0.500
Be1 0.250 0.250 0.250

---

# Zr2BeP | the Alexandria database | PBE | optimized geometry
# V in Å³/cell: 68
# Calculated total energy in eV per cell: -27.2
# Energy above the most stable polymorph in this dataset in eV/atom: 0.709
# Theoretical density in g cm⁻³: 5.44
data_Zr2BeP
_chemical_formula_sum 'Zr2 Be1 P1'
_symmetry_space_group_name_H-M 'P 1'
_symmetry_Int_Tables_number 1
_cell_length_a 3.122
_cell_length_b 3.122
_cell_length_c 6.969
_cell_angle_alpha 90.00
_cell_angle_beta 90.00
_cell_angle_gamma 90.00
loop_
_symmetry_equiv_pos_as_xyz
'x,y,z'
loop_
_atom_site_label
_atom_site_fract_x
_atom_site_fract_y
_atom_site_fract_z
P1 0.500 0.500 0.687
Zr1 0.000 0.000 0.949
Zr2 0.500 0.500 0.301
Be1 0.000 0.000 0.563

---

# ZrBeP | the Alexandria database | PBE | optimized geometry
# V in Å³/cell: 44
# Calculated total energy in eV per cell: -18.7
# Energy above the most stable polymorph in this dataset in eV/atom: 0.487
# Theoretical density in g cm⁻³: 4.95
data_ZrBeP
_chemical_formula_sum 'Zr1 Be1 P1'
_symmetry_space_group_name_H-M 'P 1'
_symmetry_Int_Tables_number 1
_cell_length_a 5.032
_cell_length_b 5.032
_cell_length_c 5.032
_cell_angle_alpha 143.12
_cell_angle_beta 144.68
_cell_angle_gamma 51.99
loop_
_symmetry_equiv_pos_as_xyz
'x,y,z'
loop_
_atom_site_label
_atom_site_fract_x
_atom_site_fract_y
_atom_site_fract_z
P1 0.368 0.368 0.000
Zr1 0.667 0.667 0.000
Be1 0.964 0.964 0.000

---

# ZrBeP | the Alexandria database | PBE | optimized geometry
# V in Å³/cell: 49
# Calculated total energy in eV per cell: -18.1
# Energy above the most stable polymorph in this dataset in eV/atom: 0.687
# Theoretical density in g cm⁻³: 4.45
data_ZrBeP
_chemical_formula_sum 'Zr1 Be1 P1'
_symmetry_space_group_name_H-M 'P 1'
_symmetry_Int_Tables_number 1
_cell_length_a 4.105
_cell_length_b 4.105
_cell_length_c 4.105
_cell_angle_alpha 60.00
_cell_angle_beta 60.00
_cell_angle_gamma 60.00
loop_
_symmetry_equiv_pos_as_xyz
'x,y,z'
loop_
_atom_site_label
_atom_site_fract_x
_atom_site_fract_y
_atom_site_fract_z
P1 0.250 0.250 0.250
Zr1 0.000 0.000 0.000
Be1 0.500 0.500 0.500

---

# ZrBeP2 | the Alexandria database | PBE | optimized geometry
# V in Å³/cell: 65
# Calculated total energy in eV per cell: -24.8
# Theoretical density in g cm⁻³: 4.17
data_ZrBeP2
_chemical_formula_sum 'Zr1 Be1 P2'
_symmetry_space_group_name_H-M 'P 1'
_symmetry_Int_Tables_number 1
_cell_length_a 3.540
_cell_length_b 3.540
_cell_length_c 5.156
_cell_angle_alpha 90.00
_cell_angle_beta 90.00
_cell_angle_gamma 90.00
loop_
_symmetry_equiv_pos_as_xyz
'x,y,z'
loop_
_atom_site_label
_atom_site_fract_x
_atom_site_fract_y
_atom_site_fract_z
P1 0.000 0.000 0.923
P2 0.500 0.500 0.285
Zr1 0.000 0.000 0.451
Be1 0.500 0.500 0.841

---

Question: V of number 1 (Zr2BeP)?
Answer: 66 Å³/cell